Entry 1:
{"formula": "ScSnPtO6", "functional": "GGA-PBE", "state": "optimized geometry", "formation_energy_uncorrected_kj_per_mol_fu": -1373, "spacegroup": "P-31c, No. 163", "vol_a3_per_atom": 11.9, "final_energy_ev_per_cell": -120.71, "magnetic_moment_mub_per_atom": 0.000, "cell": [[5.2308, 0.0000, 0.0000], [-2.6154, 4.5300, 0.0000], [0.0000, 0.0000, 9.0325]], "species": ["Sc", "Sc", "Sn", "Sn", "Pt", "Pt", "O", "O", "O", "O", "O", "O", "O", "O", "O", "O", "O", "O"], "frac_coords": [[0.3333, 0.6667, 0.2500], [0.6667, 0.3333, 0.7500], [0.0000, 0.0000, 0.0000], [0.0000, 0.0000, 0.5000], [0.3333, 0.6667, 0.7500], [0.6667, 0.3333, 0.2500], [0.0115, 0.3461, 0.6265], [0.0115, 0.6654, 0.8735], [0.3346, 0.3461, 0.8735], [0.3346, 0.9885, 0.6265], [0.3461, 0.0115, 0.1265], [0.3461, 0.3346, 0.3735], [0.6539, 0.6654, 0.6265], [0.6539, 0.9885, 0.8735], [0.6654, 0.0115, 0.3735], [0.6654, 0.6539, 0.1265], [0.9885, 0.3346, 0.1265], [0.9885, 0.6539, 0.3735]]}

---

Entry 2:
{"formula": "MnHOs2Ru", "functional": "GGA-PBE", "state": "optimized geometry", "spacegroup": "P4/mmm, No. 123", "vol_a3_per_atom": 11.4, "final_energy_ev_per_cell": -43.48, "magnetic_moment_mub_per_atom": 0.213, "cell": [[3.8547, 0.0000, 0.0000], [0.0000, 3.8547, 0.0000], [0.0000, 0.0000, 3.8237]], "species": ["Mn", "H", "Os", "Os", "Ru"], "frac_coords": [[0.0000, 0.0000, 0.0000], [0.0000, 0.0000, 0.5000], [0.0000, 0.5000, 0.5000], [0.5000, 0.0000, 0.5000], [0.5000, 0.5000, 0.0000]]}

---

Entry 3:
{"formula": "CeGeBiAu", "functional": "GGA-PBE", "state": "optimized geometry", "spacegroup": "F-43m, No. 216", "formation_energy_mev_per_atom": -371.4, "vol_a3_per_atom": 24.6, "final_energy_ev_per_cell": -76.78, "magnetic_moment_mub_per_atom": 0.272, "cell": [[7.3283, 0.0000, 0.0000], [0.0000, 7.3283, 0.0000], [0.0000, 0.0000, 7.3283]], "species": ["Ce", "Ce", "Ce", "Ce", "Ge", "Ge", "Ge", "Ge", "Bi", "Bi", "Bi", "Bi", "Au", "Au", "Au", "Au"], "frac_coords": [[0.0000, 0.0000, 0.0000], [0.0000, 0.5000, 0.5000], [0.5000, 0.0000, 0.5000], [0.5000, 0.5000, 0.0000], [0.2500, 0.2500, 0.2500], [0.2500, 0.7500, 0.7500], [0.7500, 0.2500, 0.7500], [0.7500, 0.7500, 0.2500], [0.0000, 0.0000, 0.5000], [0.0000, 0.5000, 0.0000], [0.5000, 0.0000, 0.0000], [0.5000, 0.5000, 0.5000], [0.2500, 0.2500, 0.7500], [0.2500, 0.7500, 0.2500], [0.7500, 0.2500, 0.2500], [0.7500, 0.7500, 0.7500]]}

---

Entry 4:
{"formula": "Rb2HoCl4", "functional": "GGA-PBE", "state": "optimized geometry", "formation_energy_uncorrected_kj_per_mol_fu": -1267, "spacegroup": "I4/mmm, No. 139", "vol_a3_per_atom": 34.1, "final_energy_ev_per_cell": -54.06, "magnetic_moment_mub_per_atom": 0.044, "cell": [[5.3238, 0.0000, 0.0000], [0.0000, 5.3238, 0.0000], [0.0000, 0.0000, 16.8642]], "species": ["Rb", "Rb", "Rb", "Rb", "Ho", "Ho", "Cl", "Cl", "Cl", "Cl", "Cl", "Cl", "Cl", "Cl"], "frac_coords": [[0.0000, 0.0000, 0.1432], [0.0000, 0.0000, 0.8568], [0.5000, 0.5000, 0.3568], [0.5000, 0.5000, 0.6432], [0.0000, 0.0000, 0.5000], [0.5000, 0.5000, 0.0000], [0.0000, 0.0000, 0.3404], [0.0000, 0.0000, 0.6596], [0.0000, 0.5000, 0.0000], [0.0000, 0.5000, 0.5000], [0.5000, 0.0000, 0.0000], [0.5000, 0.0000, 0.5000], [0.5000, 0.5000, 0.1596], [0.5000, 0.5000, 0.8404]]}

---

Entry 5:
{"formula": "Pr3Sn3Au2", "functional": "GGA-PBE", "state": "optimized geometry", "spacegroup": "Cmcm, No. 63", "formation_energy_mev_per_atom": -777.4, "vol_a3_per_atom": 26.6, "final_energy_ev_per_cell": -78.24, "magnetic_moment_mub_per_atom": 0.002, "cell": [[2.3571, -5.7272, 0.0000], [2.3571, 5.7272, 0.0000], [0.0000, 0.0000, 15.7854]], "species": ["Pr", "Pr", "Pr", "Pr", "Pr", "Pr", "Sn", "Sn", "Sn", "Sn", "Sn", "Sn", "Au", "Au", "Au", "Au"], "frac_coords": [[0.0823, 0.9177, 0.6103], [0.0823, 0.9177, 0.8897], [0.3532, 0.6468, 0.7500], [0.6468, 0.3532, 0.2500], [0.9177, 0.0823, 0.1103], [0.9177, 0.0823, 0.3897], [0.3615, 0.6385, 0.2500], [0.3806, 0.6194, 0.5403], [0.3806, 0.6194, 0.9597], [0.6194, 0.3806, 0.0403], [0.6194, 0.3806, 0.4597], [0.6385, 0.3615, 0.7500], [0.2124, 0.7876, 0.1052], [0.2124, 0.7876, 0.3948], [0.7876, 0.2124, 0.6052], [0.7876, 0.2124, 0.8948]]}

---

Entry 6:
{"formula": "V5CrTc4", "functional": "GGA-PBE", "state": "optimized geometry", "spacegroup": "P4/mmm, No. 123", "formation_energy_mev_per_atom": -315.8, "vol_a3_per_atom": 13.6, "final_energy_ev_per_cell": -99.84, "magnetic_moment_mub_per_atom": 0.006, "cell": [[3.0080, 0.0000, 0.0000], [0.0000, 3.0080, 0.0000], [0.0000, 0.0000, 15.0184]], "species": ["V", "V", "V", "V", "V", "Cr", "Tc", "Tc", "Tc", "Tc"], "frac_coords": [[0.0000, 0.0000, 0.0000], [0.0000, 0.0000, 0.2027], [0.0000, 0.0000, 0.4048], [0.0000, 0.0000, 0.5952], [0.0000, 0.0000, 0.7973], [0.5000, 0.5000, 0.5000], [0.5000, 0.5000, 0.1011], [0.5000, 0.5000, 0.3032], [0.5000, 0.5000, 0.6968], [0.5000, 0.5000, 0.8989]]}

---

Entry 7:
{"formula": "SrPCS2", "functional": "GGA-PBE", "state": "optimized geometry", "formation_energy_uncorrected_kj_per_mol_fu": 1019, "spacegroup": "P4/mmm, No. 123", "vol_a3_per_atom": 39.2, "final_energy_ev_per_cell": -14.01, "magnetic_moment_mub_per_atom": 0.988, "de_polymorph_mev_per_atom": 1846, "cell": [[5.6928, 0.0000, 0.0000], [0.0000, 5.6928, 0.0000], [0.0000, 0.0000, 6.0453]], "species": ["Sr", "P", "C", "S", "S"], "frac_coords": [[0.0000, 0.0000, 0.0000], [0.0000, 0.0000, 0.5000], [0.5000, 0.5000, 0.5000], [0.0000, 0.5000, 0.0000], [0.5000, 0.0000, 0.0000]]}

---

Entry 8:
{"formula": "AcSnF", "functional": "GGA-PBE", "state": "optimized geometry", "formation_energy_uncorrected_kj_per_mol_fu": -458, "spacegroup": "Immm, No. 71", "vol_a3_per_atom": 31.2, "final_energy_ev_per_cell": -58.90, "magnetic_moment_mub_per_atom": 0.000, "de_polymorph_mev_per_atom": 585, "cell": [[3.8368, 0.0000, 0.0000], [0.0000, 7.7096, 0.0000], [0.0000, 0.0000, 12.6606]], "species": ["Ac", "Ac", "Ac", "Ac", "Sn", "Sn", "Sn", "Sn", "F", "F", "F", "F"], "frac_coords": [[0.0000, 0.0000, 0.1644], [0.0000, 0.0000, 0.8356], [0.5000, 0.5000, 0.3356], [0.5000, 0.5000, 0.6644], [0.0000, 0.5000, 0.1147], [0.0000, 0.5000, 0.8853], [0.5000, 0.0000, 0.3853], [0.5000, 0.0000, 0.6147], [0.0000, 0.1596, 0.0000], [0.0000, 0.8404, 0.0000], [0.5000, 0.3404, 0.5000], [0.5000, 0.6596, 0.5000]]}

---

no.,Fermi-level density of states (states/eV/f.u.)
1,5.6
2,2.5
3,6.2
4,3.0
5,6.0
6,7.4
7,11.3
8,2.2